No. 1
An optimized crystal structure of La2TlAgH. Source: Alexandria via LeMat-Bulk, functional GGA-PBE.

Cell and atoms, written as CIF:
```
data_La2TlAgH
_chemical_formula_sum 'La2 Tl1 Ag1 H1'
_cell_length_a 5.075
_cell_length_b 5.075
_cell_length_c 4.547
_cell_angle_alpha 90.00
_cell_angle_beta 90.00
_cell_angle_gamma 90.00
_space_group_name_H-M_alt 'P 4/m m m'
_space_group_IT_number 123
_space_group_name_Hall '-P 4 2'
loop_
_atom_site_label
_atom_site_type_symbol
_atom_site_fract_x
_atom_site_fract_y
_atom_site_fract_z
La1 La 0.000 0.500 0.000
Tl1 Tl 0.000 0.000 0.500
Ag1 Ag 0.500 0.500 0.500
H1 H 0.500 0.500 0.000
```

Properties
* energy relative to the lowest polymorph listed for this composition: 0.0 kJ/mol of formula units

***

No. 2
An optimized crystal structure of La2ZnAgH. Source: Alexandria via LeMat-Bulk, functional GGA-PBE.

Cell and atoms, written as CIF:
```
data_La2ZnAgH
_chemical_formula_sum 'La2 Zn1 Ag1 H1'
_cell_length_a 5.150
_cell_length_b 5.150
_cell_length_c 4.164
_cell_angle_alpha 90.00
_cell_angle_beta 90.00
_cell_angle_gamma 90.00
_space_group_name_H-M_alt 'P 4/m m m'
_space_group_IT_number 123
_space_group_name_Hall '-P 4 2'
loop_
_atom_site_label
_atom_site_type_symbol
_atom_site_fract_x
_atom_site_fract_y
_atom_site_fract_z
La1 La 0.000 0.500 0.000
Zn1 Zn 0.000 0.000 0.500
Ag1 Ag 0.500 0.500 0.500
H1 H 0.500 0.500 0.000
```

Properties
* energy relative to the lowest polymorph listed for this composition: 0.0 kJ/mol of formula units

***

No. 3
An optimized crystal structure of La2ZnAgH. Source: Alexandria via LeMat-Bulk, functional GGA-PBE.

Cell and atoms, written as CIF:
```
data_La2ZnAgH
_chemical_formula_sum 'La2 Zn1 Ag1 H1'
_cell_length_a 5.166
_cell_length_b 5.166
_cell_length_c 4.108
_cell_angle_alpha 90.00
_cell_angle_beta 90.00
_cell_angle_gamma 90.00
_space_group_name_H-M_alt 'P 4/m m m'
_space_group_IT_number 123
_space_group_name_Hall '-P 4 2'
loop_
_atom_site_label
_atom_site_type_symbol
_atom_site_fract_x
_atom_site_fract_y
_atom_site_fract_z
La1 La 0.000 0.500 0.000
Zn1 Zn 0.000 0.000 0.500
Ag1 Ag 0.500 0.500 0.500
H1 H 0.000 0.000 0.000
```

Properties
* energy relative to the lowest polymorph listed for this composition: 3.7 kJ/mol of formula units

***

No. 4
An optimized crystal structure of Li3Ag5H12. Source: Alexandria via LeMat-Bulk, functional GGA-PBE.

Cell and atoms, written as CIF:
```
data_Li3Ag5H12
_chemical_formula_sum 'Li24 Ag40 H96'
_cell_length_a 11.526
_cell_length_b 11.526
_cell_length_c 11.526
_cell_angle_alpha 90.00
_cell_angle_beta 90.00
_cell_angle_gamma 90.00
_space_group_name_H-M_alt 'I a -3 d'
_space_group_IT_number 230
_space_group_name_Hall '-I 4bd 2c 3'
loop_
_atom_site_label
_atom_site_type_symbol
_atom_site_fract_x
_atom_site_fract_y
_atom_site_fract_z
Li1 Li 0.000 0.250 0.125
Ag1 Ag 0.000 0.000 0.000
Ag2 Ag 0.000 0.250 0.375
H1 H 0.015 0.058 0.652
```

***

No. 5
An optimized crystal structure of Li2AgH. Source: Alexandria via LeMat-Bulk, functional GGA-PBE.

Cell and atoms, written as CIF:
```
data_Li2AgH
_chemical_formula_sum 'Li8 Ag4 H4'
_cell_length_a 6.133
_cell_length_b 6.133
_cell_length_c 6.133
_cell_angle_alpha 90.00
_cell_angle_beta 90.00
_cell_angle_gamma 90.00
_space_group_name_H-M_alt 'F m -3 m'
_space_group_IT_number 225
_space_group_name_Hall '-F 4 2 3'
loop_
_atom_site_label
_atom_site_type_symbol
_atom_site_fract_x
_atom_site_fract_y
_atom_site_fract_z
Li1 Li 0.250 0.250 0.250
Ag1 Ag 0.000 0.000 0.000
H1 H 0.000 0.000 0.500
```

Properties
* energy relative to the lowest polymorph listed for this composition: 168.7 kJ/mol of formula units

***

No. 6
An optimized crystal structure of Li4Ag2H. Source: Alexandria via LeMat-Bulk, functional GGA-PBE.

Cell and atoms, written as CIF:
```
data_Li4Ag2H
_chemical_formula_sum 'Li8 Ag4 H2'
_cell_length_a 3.786
_cell_length_b 3.786
_cell_length_c 13.737
_cell_angle_alpha 90.00
_cell_angle_beta 90.00
_cell_angle_gamma 90.00
_space_group_name_H-M_alt 'I 4/m m m'
_space_group_IT_number 139
_space_group_name_Hall '-I 4 2'
loop_
_atom_site_label
_atom_site_type_symbol
_atom_site_fract_x
_atom_site_fract_y
_atom_site_fract_z
Li1 Li 0.000 0.000 0.140
Li2 Li 0.000 0.500 0.000
Ag1 Ag 0.000 0.000 0.330
H1 H 0.000 0.000 0.000
```

***

No. 7
An optimized crystal structure of Li3AgH. Source: Alexandria via LeMat-Bulk, functional GGA-PBE.

Cell and atoms, written as CIF:
```
data_Li3AgH
_chemical_formula_sum 'Li6 Ag2 H2'
_cell_length_a 2.915
_cell_length_b 4.744
_cell_length_c 9.600
_cell_angle_alpha 88.94
_cell_angle_beta 81.77
_cell_angle_gamma 89.94
_space_group_name_H-M_alt 'P 1'
_space_group_IT_number 1
loop_
_space_group_symop_operation_xyz
'x,y,z'
loop_
_atom_site_label
_atom_site_type_symbol
_atom_site_fract_x
_atom_site_fract_y
_atom_site_fract_z
Li1 Li 0.000 0.000 0.000
Li2 Li 0.107 0.434 0.786
Li3 Li 0.248 0.794 0.513
Li4 Li 0.361 0.144 0.268
Li5 Li 0.747 0.288 0.518
Li6 Li 0.860 0.637 0.273
Ag1 Ag 0.483 0.506 0.034
Ag2 Ag 0.623 0.928 0.752
H1 H 0.301 0.462 0.399
H2 H 0.805 0.969 0.386
```

Properties
* energy relative to the lowest polymorph listed for this composition: 0.0 kJ/mol of formula units

***

No. 8
An optimized crystal structure of Li6Ag2H. Source: Alexandria via LeMat-Bulk, functional GGA-PBE.

Cell and atoms, written as CIF:
```
data_Li6Ag2H
_chemical_formula_sum 'Li12 Ag4 H2'
_cell_length_a 5.714
_cell_length_b 5.714
_cell_length_c 8.098
_cell_angle_alpha 90.00
_cell_angle_beta 90.00
_cell_angle_gamma 90.00
_space_group_name_H-M_alt 'I 4/m m m'
_space_group_IT_number 139
_space_group_name_Hall '-I 4 2'
loop_
_atom_site_label
_atom_site_type_symbol
_atom_site_fract_x
_atom_site_fract_y
_atom_site_fract_z
Li1 Li 0.000 0.000 0.241
Li2 Li 0.244 0.244 0.000
Ag1 Ag 0.000 0.500 0.250
H1 H 0.000 0.000 0.000
```

***

No. 9
An optimized crystal structure of LiAgH3. Source: Alexandria via LeMat-Bulk, functional GGA-PBE.

Cell and atoms, written as CIF:
```
data_LiAgH3
_chemical_formula_sum 'Li1 Ag1 H3'
_cell_length_a 3.655
_cell_length_b 3.655
_cell_length_c 3.655
_cell_angle_alpha 90.00
_cell_angle_beta 90.00
_cell_angle_gamma 90.00
_space_group_name_H-M_alt 'P m -3 m'
_space_group_IT_number 221
_space_group_name_Hall '-P 4 2 3'
loop_
_atom_site_label
_atom_site_type_symbol
_atom_site_fract_x
_atom_site_fract_y
_atom_site_fract_z
Li1 Li 0.000 0.000 0.000
Ag1 Ag 0.500 0.500 0.500
H1 H 0.000 0.500 0.500
```

Properties
* energy relative to the lowest polymorph listed for this composition: 0.0 kJ/mol of formula units

***

No. 10
An optimized crystal structure of LiAgH3. Source: Alexandria via LeMat-Bulk, functional GGA-PBE.

Cell and atoms, written as CIF:
```
data_LiAgH3
_chemical_formula_sum 'Li1 Ag1 H3'
_cell_length_a 3.464
_cell_length_b 3.464
_cell_length_c 3.464
_cell_angle_alpha 90.00
_cell_angle_beta 90.00
_cell_angle_gamma 90.00
_space_group_name_H-M_alt 'P m -3 m'
_space_group_IT_number 221
_space_group_name_Hall '-P 4 2 3'
loop_
_atom_site_label
_atom_site_type_symbol
_atom_site_fract_x
_atom_site_fract_y
_atom_site_fract_z
Li1 Li 0.000 0.000 0.000
Ag1 Ag 0.500 0.500 0.500
H1 H 0.000 0.000 0.500
```

Properties
* energy relative to the lowest polymorph listed for this composition: 193.3 kJ/mol of formula units

***

No. 11
An optimized crystal structure of Li2AgH. Source: Alexandria via LeMat-Bulk, functional GGA-PBE.

Cell and atoms, written as CIF:
```
data_Li2AgH
_chemical_formula_sum 'Li6 Ag3 H3'
_cell_length_a 2.8399
_cell_length_b 2.8399
_cell_length_c 22.2554
_cell_angle_alpha 90.00
_cell_angle_beta 90.00
_cell_angle_gamma 120.00
_space_group_name_H-M_alt 'R -3 m'
_space_group_IT_number 166
_space_group_name_Hall '-R 3 2"'
loop_
_atom_site_label
_atom_site_type_symbol
_atom_site_fract_x
_atom_site_fract_y
_atom_site_fract_z
Li1 Li 0.0000 0.0000 0.1145
Ag1 Ag 0.0000 0.0000 0.0000
H1 H 0.0000 0.0000 0.5000
```

Properties
* energy relative to the lowest polymorph listed for this composition: 28.3 kJ/mol of formula units

***

no.,final energy (eV/atom)
1,-4.0408
2,-3.7587
3,-3.7510
4,-2.8406
5,-2.3305
6,-2.5410
7,-2.6300
8,-2.4805
9,-2.8896
10,-2.4888
11,-2.6944